No. 1
A plane-wave DFT calculation with PBE-GGA was carried out for a relaxed structure of Ce2Ga8Au.

Values from the calculation:
Electronic total energy = -44.211 eV/cell
Mass density = 7.726 g/cm³
Formation enthalpy at 0 K = -441 meV per atom

Cell lengths 4.4251, 4.4251, 11.3602 Å; angles 90.00, 90.00, 90.00 degrees
With the nearest neighbours (Å) after each atom.
Sites, in units of the cell vectors:
Ce  0.0000  0.0000  0.6885  12 Ga 3.01-3.13
Au  0.0000  0.0000  0.0000  8 Ga 2.67
Ga  0.0000  0.5000  0.5000  4 Ce 3.08, 8 Ga 3.08-3.13
Ga  0.0000  0.5000  0.1319  2 Au 2.67
Ga  0.0000  0.5000  0.8681  2 Au 2.67
Ga  0.5000  0.5000  0.3111  8 Ga 3.01-3.08, 4 Ce 3.13
Ga  0.5000  0.5000  0.6889  8 Ga 3.01-3.08, 4 Ce 3.13
Ga  0.5000  0.0000  0.5000  4 Ce 3.08, 8 Ga 3.08-3.13
Ga  0.5000  0.0000  0.1319  2 Au 2.67
Ga  0.5000  0.0000  0.8681  2 Au 2.67
Ce  0.0000  0.0000  0.3115  12 Ga 3.01-3.13

---

No. 2
A plane-wave DFT calculation with PBE-GGA was carried out for a relaxed structure of Ce3Ga2Au3.

Values from the calculation:
Electronic total energy = -37.925 eV/cell
Mass density = 10.245 g/cm³
E above lowest polymorph = 121 meV per atom
Formation enthalpy at 0 K = -530 meV per atom

Cell lengths 4.0703, 5.3018, 9.5229 Å; angles 111.19, 102.34, 90.00 degrees
With the nearest neighbours (Å) after each atom.
Sites, in units of the cell vectors:
Ce  0.1435  0.7212  0.2869  4 Ga 3.00-3.23, 4 Au 3.21-3.29
Au  0.5000  0.5000  0.0000  8 Ce 3.21-3.34, 2 Au 3.44
Ga  0.7622  0.6820  0.5243  3 Au 2.72-2.80, 2 Ga 2.72, 1 Ce 3.00
Ce  0.0000  0.0000  0.0000  8 Au 3.08-3.34
Ga  0.2378  0.3180  0.4757  3 Au 2.72-2.80, 2 Ga 2.72, 1 Ce 3.00
Au  0.3662  0.8055  0.7324  3 Ga 2.72-2.80
Ce  0.8565  0.2788  0.7131  4 Ga 3.00-3.23, 4 Au 3.21-3.29
Au  0.6338  0.1945  0.2676  3 Ga 2.72-2.80

---

No. 3
A plane-wave DFT calculation with PBE-GGA was carried out for a relaxed structure of Ce3Ga9Au2.

Values from the calculation:
Electronic total energy = -58.865 eV/cell
Mass density = 8.538 g/cm³
Formation enthalpy at 0 K = -519 meV per atom

Cell lengths 4.3481, 8.4276, 8.4276 Å; angles 73.58, 75.05, 75.05 degrees
With the nearest neighbours (Å) after each atom.
Sites, in units of the cell vectors:
Ce  0.6793  0.3207  0.3207  10 Ga 3.16-3.21, 2 Au 3.19
Ga  0.8615  0.8665  0.4105  4 Ga 2.66-2.90, 2 Au 2.80
Ga  0.3319  0.0428  0.2933  4 Ga 2.53-2.68, 1 Au 2.65
Ga  0.6681  0.7067  0.9572  4 Ga 2.53-2.68, 1 Au 2.65
Ce  0.0000  0.0000  0.0000  12 Ga 3.27-3.31, 4 Au 3.56
Ga  0.3319  0.2933  0.0428  4 Ga 2.53-2.68, 1 Au 2.65
Au  0.5000  0.2794  0.7206  6 Ga 2.65-2.80
Au  0.5000  0.7206  0.2794  6 Ga 2.65-2.80
Ga  0.8615  0.4105  0.8665  4 Ga 2.66-2.90, 2 Au 2.80
Ga  0.1385  0.1335  0.5895  4 Ga 2.66-2.90, 2 Au 2.80
Ce  0.3207  0.6793  0.6793  10 Ga 3.16-3.21, 2 Au 3.19
Ga  0.0000  0.5000  0.5000  4 Ga 2.90, 4 Au 3.11, 4 Ce 3.16
Ga  0.1385  0.5895  0.1335  4 Ga 2.66-2.90, 2 Au 2.80
Ga  0.6681  0.9572  0.7067  4 Ga 2.53-2.68, 1 Au 2.65

---

No. 4
A plane-wave DFT calculation with PBE-GGA was carried out for a relaxed structure of Ce3Ga3Au.

Values from the calculation:
Electronic total energy = -68.193 eV/cell
Mass density = 8.200 g/cm³
Formation enthalpy at 0 K = -562 meV per atom

Cell lengths 4.5106, 5.8755, 13.8719 Å; angles 84.52, 80.64, 67.43 degrees
With the nearest neighbours (Å) after each atom.
Sites, in units of the cell vectors:
Ce  0.5413  0.2982  0.6193  7 Ga 3.13-3.38, 4 Au 3.18-3.35
Ce  0.2590  0.2578  0.2243  6 Ga 3.12-3.23, 2 Au 3.26
Au  0.7494  0.1130  0.3882  3 Ga 2.64-2.71
Ce  0.6056  0.7124  0.0764  7 Ga 3.11-3.23
Ga  0.1068  0.8614  0.9251  2 Ga 2.59-2.63
Au  0.2506  0.8870  0.6118  3 Ga 2.64-2.71
Ga  0.8932  0.1386  0.0749  2 Ga 2.59-2.63
Ga  0.8724  0.7137  0.5414  1 Ga 2.62, 2 Au 2.64
Ga  0.1276  0.2863  0.4586  1 Ga 2.62, 2 Au 2.64
Ce  0.7410  0.7422  0.7757  6 Ga 3.12-3.23, 2 Au 3.26
Ce  0.4587  0.7018  0.3807  7 Ga 3.13-3.38, 4 Au 3.18-3.35
Ga  0.0306  0.1675  0.7712  1 Ga 2.63, 1 Au 2.71
Ce  0.3944  0.2876  0.9236  7 Ga 3.11-3.23
Ga  0.9694  0.8325  0.2288  1 Ga 2.63, 1 Au 2.71

---

No. 5
A plane-wave DFT calculation with PBE-GGA was carried out for a relaxed structure of Ce2Ga12Au.

Values from the calculation:
Electronic total energy = -113.340 eV/cell
Mass density = 7.318 g/cm³
Formation enthalpy at 0 K = -347 meV per atom

Cell lengths 6.2080, 6.2080, 15.4709 Å; angles 90.00, 90.00, 90.00 degrees
With the nearest neighbours (Å) after each atom.
Sites, in units of the cell vectors:
Ga  0.6710  0.1710  0.4296  3 Ga 2.58-2.65
Ga  0.0000  0.0000  0.6549  5 Ga 2.44-2.65
Ga  0.2498  0.2502  0.9055  3 Ga 2.62-2.93, 2 Au 2.64
Ga  0.7498  0.2498  0.9055  3 Ga 2.62-2.93, 2 Au 2.64
Au  0.5000  0.0000  0.0000  8 Ga 2.64
Ce  0.0000  0.5000  0.2479  14 Ga 3.19-3.45
Ga  0.5000  0.5000  0.8125  5 Ga 2.44-2.62
Ga  0.0000  0.0000  0.3451  5 Ga 2.44-2.65
Ga  0.2502  0.7502  0.9055  3 Ga 2.62-2.93, 2 Au 2.64
Ga  0.5000  0.5000  0.3451  5 Ga 2.44-2.65
Ce  0.0000  0.5000  0.7521  14 Ga 3.19-3.45
Ga  0.5000  0.5000  0.1875  5 Ga 2.44-2.62
Ga  0.7502  0.7498  0.9055  3 Ga 2.62-2.93, 2 Au 2.64
Ga  0.1710  0.6710  0.5704  3 Ga 2.58-2.65
Ga  0.7502  0.2502  0.0945  3 Ga 2.62-2.93, 2 Au 2.64
Ga  0.2502  0.2498  0.0945  3 Ga 2.62-2.93, 2 Au 2.64
Ga  0.7498  0.7502  0.0945  3 Ga 2.62-2.93, 2 Au 2.64
Ga  0.0000  0.0000  0.1875  5 Ga 2.44-2.62
Ga  0.6710  0.8290  0.5704  3 Ga 2.58-2.65
Ga  0.0000  0.0000  0.8125  5 Ga 2.44-2.62
Ga  0.8290  0.6710  0.4296  3 Ga 2.58-2.65
Ga  0.3290  0.8290  0.4296  3 Ga 2.58-2.65
Ce  0.5000  0.0000  0.2479  14 Ga 3.19-3.45
Ga  0.8290  0.3290  0.5704  3 Ga 2.58-2.65
Ga  0.3290  0.1710  0.5704  3 Ga 2.58-2.65
Ga  0.1710  0.3290  0.4296  3 Ga 2.58-2.65
Ga  0.5000  0.5000  0.6549  5 Ga 2.44-2.65
Ce  0.5000  0.0000  0.7521  14 Ga 3.19-3.45
Au  0.0000  0.5000  0.0000  8 Ga 2.64
Ga  0.2498  0.7498  0.0945  3 Ga 2.62-2.93, 2 Au 2.64

---

No. 6
A plane-wave DFT calculation with PBE-GGA was carried out for a relaxed structure of Ce2GaAu3.

Values from the calculation:
Electronic total energy = -28.339 eV/cell
Mass density = 10.851 g/cm³
E above lowest polymorph = 108 meV per atom
Formation enthalpy at 0 K = -602 meV per atom

Cell lengths 3.8278, 4.3641, 9.0948 Å; angles 103.88, 102.15, 90.00 degrees
With the nearest neighbours (Å) after each atom.
Sites, in units of the cell vectors:
Ce  0.8780  0.3780  0.7560  6 Au 3.13-3.32, 4 Ga 3.24
Ga  0.4614  0.9614  0.9228  3 Au 2.53-2.61
Ce  0.1197  0.1197  0.2394  8 Au 3.18-3.25, 2 Ga 3.33
Au  0.6955  0.6955  0.3910  3 Au 2.75-2.76
Au  0.3100  0.8100  0.6199  1 Ga 2.61, 2 Au 2.75
Au  0.5355  0.5355  0.0709  2 Ga 2.53, 1 Au 2.76

---

No. 7
A plane-wave DFT calculation with PBE-GGA was carried out for a relaxed structure of Ce6GaAu2.

Values from the calculation:
Electronic total energy = -48.223 eV/cell
Mass density = 9.350 g/cm³
Formation enthalpy at 0 K = -338 meV per atom

Cell lengths 4.1459, 7.3012, 8.4786 Å; angles 115.50, 90.00, 90.00 degrees
With the nearest neighbours (Å) after each atom.
Sites, in units of the cell vectors:
Ce  0.5000  0.5548  0.0000  2 Ce 2.79
Au  0.0000  0.6762  0.3380  7 Ce 2.97-3.26
Ce  0.0000  0.2980  0.0000  2 Ce 2.79, 2 Au 3.00, 2 Ga 3.08
Ce  0.0000  0.7686  0.7184  2 Ce 2.86, 2 Au 2.97-3.00, 2 Ga 3.04
Ga  0.5000  0.9868  0.0000  9 Ce 3.04-3.15
Ce  0.5000  0.3489  0.3705  2 Ce 2.86, 1 Ga 3.12
Ce  0.0000  0.0502  0.2816  2 Ce 2.86, 2 Au 2.97-3.00, 2 Ga 3.04
Ce  0.5000  0.9785  0.6295  2 Ce 2.86, 1 Ga 3.12
Au  0.0000  0.3382  0.6620  7 Ce 2.97-3.26

---

No. 8
A plane-wave DFT calculation with PBE-GGA was carried out for a relaxed structure of CeGaAu.

Values from the calculation:
Electronic total energy = -28.811 eV/cell
Mass density = 10.192 g/cm³
Formation enthalpy at 0 K = -722 meV per atom

Cell lengths 4.6026, 5.8481, 5.8481 Å; angles 85.22, 66.83, 66.83 degrees
With the nearest neighbours (Å) after each atom.
Sites, in units of the cell vectors:
Ce  0.0000  0.6193  0.3807  6 Ga 3.11-3.28, 6 Au 3.24-3.30
Ga  0.6970  0.6156  0.9904  3 Au 2.67-2.69, 1 Ga 2.87
Ce  0.5000  0.1731  0.8269  6 Au 3.15-3.21, 6 Ga 3.19-3.37
Au  0.7753  0.2056  0.2437  3 Ga 2.67-2.69
Ga  0.3030  0.0096  0.3844  3 Au 2.67-2.69, 1 Ga 2.87
Au  0.2247  0.7563  0.7944  3 Ga 2.67-2.69